[1]
Material: TlSb2P
Method: DFT, GGA-PBE
State: optimized geometry

Cell lengths 6.9807, 6.9807, 6.9807 Å; angles 150.26, 139.01, 51.46 degrees
Fractional positions:
Tl1 0.0000 0.0000 0.0000
Sb1 0.3673 0.3673 0.0000
Sb2 0.7093 0.2093 0.5000
P1 0.2073 0.7073 0.5000

Calculated values
* total energy: -15.064 eV per cell
* total magnetization: 0.0 μB/f.u.
* space-group type: Imm2 (44)



[2]
Material: Tl2SbP2
Method: DFT, GGA-PBE
State: optimized geometry

Cell lengths 8.6310, 8.6310, 3.2217 Å; angles 90.00, 90.00, 90.00 degrees
Fractional positions:
Tl1 0.1420 0.3580 0.0000
Tl2 0.3580 0.8580 0.0000
Tl3 0.6420 0.1420 0.0000
Tl4 0.8580 0.6420 0.0000
Sb1 0.0000 0.0000 0.0000
Sb2 0.5000 0.5000 0.0000
P1 0.1568 0.6568 0.5000
P2 0.3432 0.1568 0.5000
P3 0.6568 0.8432 0.5000
P4 0.8432 0.3432 0.5000

Calculated values
* total energy: -33.082 eV per cell
* total magnetization: 0.0 μB/f.u.
* space-group type: P4/mbm (127)



[3]
Material: Tl3SbP
Method: DFT, GGA-PBE
State: optimized geometry

Cell lengths 5.3459, 5.3459, 5.3459 Å; angles 90.00, 90.00, 90.00 degrees
Fractional positions:
Tl1 0.0000 0.0000 0.5000
Tl2 0.0000 0.5000 0.0000
Tl3 0.5000 0.0000 0.0000
Sb1 0.5000 0.5000 0.5000
P1 0.0000 0.0000 0.0000

Calculated values
* total energy: -14.967 eV per cell
* total magnetization: 0.0 μB/f.u.
* space-group type: Pm-3m (221)



[4]
Material: Tl3SbP
Method: DFT, GGA-PBE
State: optimized geometry

Cell lengths 9.2566, 9.2566, 9.6321 Å; angles 90.34, 90.34, 21.31 degrees
Fractional positions:
Tl1 0.0489 0.0489 0.1790
Tl2 0.2617 0.2617 0.8243
Tl3 0.4164 0.4164 0.4248
Tl4 0.5836 0.5836 0.5752
Tl5 0.7383 0.7383 0.1757
Tl6 0.9511 0.9511 0.8210
Sb1 0.3896 0.3896 0.0966
Sb2 0.6104 0.6104 0.9034
P1 0.2171 0.2171 0.4587
P2 0.7829 0.7829 0.5413

Calculated values
* total energy: -32.872 eV per cell
* total magnetization: 0.0 μB/f.u.
* space-group type: C2/m (12)



[5]
Material: TlSbP2
Method: DFT, GGA-PBE
State: optimized geometry

Cell lengths 5.5082, 5.5082, 5.5082 Å; angles 139.47, 110.41, 83.75 degrees
Fractional positions:
Tl1 0.0000 0.0000 0.0000
Sb1 0.5000 0.5000 0.0000
P1 0.2807 0.7807 0.5000
P2 0.7193 0.2193 0.5000

Calculated values
* total energy: -15.150 eV per cell
* total magnetization: 0.0 μB/f.u.
* space-group type: Immm (71)



[6]
Material: TlSb2P
Method: DFT, GGA-PBE
State: optimized geometry

Cell lengths 6.1891, 6.1891, 6.1891 Å; angles 146.45, 125.53, 65.51 degrees
Fractional positions:
Tl1 0.0000 0.0000 0.0000
Sb1 0.3036 0.8036 0.5000
Sb2 0.6964 0.1964 0.5000
P1 0.5000 0.5000 0.0000

Calculated values
* total energy: -15.199 eV per cell
* total magnetization: 0.0 μB/f.u.
* space-group type: Immm (71)